Na3LiAg3Cl8 | PBE | optimized geometry

Volume: 346 Å³/cell
N(E_F): 13.05 states/eV/f.u.
Size of the total moment: 0.8 μB per cell
Raw total energy: -46.0 eV/cell

abc: 8.053 8.049 7.730
angles: 121.51 90.00 120.02
Site moments in Bohr magnetons follow the coordinates.
Fractional positions:
Na (0.500, 0.000, 0.500)  0.00
Na (0.500, 0.500, 0.500)  0.00
Na (0.000, 0.500, 0.500)  0.00
Li (0.000, 0.000, 0.500)  0.00
Ag (0.000, 0.000, 0.000)  0.12
Ag (0.000, 0.500, 0.000)  0.12
Ag (0.500, 0.500, 0.000)  0.12
Cl (0.257, 0.514, 0.271)  0.01
Cl (0.743, 0.486, 0.729)  0.01
Cl (0.766, 0.532, 0.248)  0.06
Cl (0.234, 0.468, 0.752)  0.06
Cl (0.765, 0.980, 0.247)  0.06
Cl (0.235, 0.020, 0.753)  0.06
Cl (0.215, 0.980, 0.247)  0.06
Cl (0.785, 0.020, 0.753)  0.06



Na3LiAg4Cl8 | PBE | optimized geometry

Volume: 354 Å³/cell
N(E_F): 0.00 states/eV/f.u.
Size of the total moment: 0.0 μB per cell
Raw total energy: -49.6 eV/cell

abc: 8.022 8.033 7.974
angles: 121.51 120.20 90.00
Fractional positions:
Na (0.500, 0.500, 0.000)
Na (0.500, 0.500, 0.500)
Na (0.000, 0.500, 0.500)
Li (0.000, 0.500, 0.000)
Ag (0.500, 0.000, 0.000)
Ag (0.500, 0.000, 0.500)
Ag (0.000, 0.000, 0.000)
Ag (0.000, 0.000, 0.500)
Cl (0.236, 0.733, 0.010)
Cl (0.266, 0.762, 0.532)
Cl (0.245, 0.249, 0.490)
Cl (0.774, 0.733, 0.010)
Cl (0.226, 0.267, 0.990)
Cl (0.755, 0.751, 0.510)
Cl (0.734, 0.238, 0.468)
Cl (0.764, 0.267, 0.990)



NaLiAg2Cl4 | PBE | optimized geometry

Volume: 422 Å³/cell
N(E_F): 0.00 states/eV/f.u.
Size of the total moment: 0.0 μB per cell
Raw total energy: -50.5 eV/cell

abc: 6.790 7.267 8.556
angles: 90.00 90.00 90.00
Fractional positions:
Na (0.995, 0.166, 0.500)
Na (0.495, 0.834, 0.000)
Li (0.500, 0.817, 0.500)
Li (0.000, 0.183, 0.000)
Ag (0.495, 0.325, 0.254)
Ag (0.495, 0.325, 0.746)
Ag (0.995, 0.675, 0.754)
Ag (0.995, 0.675, 0.246)
Cl (0.352, 0.181, 0.000)
Cl (0.852, 0.819, 0.500)
Cl (0.396, 0.135, 0.500)
Cl (0.896, 0.865, 0.000)
Cl (0.384, 0.671, 0.731)
Cl (0.884, 0.329, 0.231)
Cl (0.884, 0.329, 0.769)
Cl (0.384, 0.671, 0.269)



Na2LiAg3Cl6 | PBE | optimized geometry

Volume: 260 Å³/cell
N(E_F): 0.00 states/eV/f.u.
Size of the total moment: 0.0 μB per cell
Raw total energy: -37.4 eV/cell

abc: 6.885 6.885 6.733
angles: 99.56 99.56 120.29
Fractional positions:
Na (0.334, 0.666, 0.000)
Na (0.666, 0.334, 0.000)
Li (0.000, 0.000, 0.000)
Ag (0.167, 0.833, 0.500)
Ag (0.833, 0.167, 0.500)
Ag (0.500, 0.500, 0.500)
Cl (0.918, 0.600, 0.751)
Cl (0.764, 0.764, 0.233)
Cl (0.082, 0.400, 0.249)
Cl (0.600, 0.918, 0.751)
Cl (0.236, 0.236, 0.767)
Cl (0.400, 0.082, 0.249)



Na3Li2AgCl6 | PBE | optimized geometry

Volume: 252 Å³/cell
N(E_F): 0.00 states/eV/f.u.
Size of the total moment: 0.0 μB per cell
Raw total energy: -40.4 eV/cell

abc: 6.746 6.746 6.776
angles: 100.12 100.12 119.39
Fractional positions:
Na (0.162, 0.838, 0.500)
Na (0.838, 0.162, 0.500)
Na (0.500, 0.500, 0.500)
Li (0.333, 0.667, 0.000)
Li (0.667, 0.333, 0.000)
Ag (0.000, 0.000, 0.000)
Cl (0.925, 0.578, 0.766)
Cl (0.727, 0.727, 0.238)
Cl (0.075, 0.422, 0.234)
Cl (0.578, 0.925, 0.766)
Cl (0.273, 0.273, 0.762)
Cl (0.422, 0.075, 0.234)



Li2NdAgCl6 | PBE | optimized geometry

Volume: 240 Å³/cell
N(E_F): 0.00 states/eV/f.u.
Size of the total moment: 0.0 μB per cell
Raw total energy: -39.5 eV/cell

abc: 6.743 6.746 7.234
angles: 62.16 62.23 59.96
Fractional positions:
Li (0.519, 0.518, 0.445)
Li (0.012, 0.012, 0.964)
Nd (0.317, 0.317, 0.050)
Ag (0.801, 0.802, 0.595)
Cl (0.623, 0.240, 0.243)
Cl (0.241, 0.893, 0.243)
Cl (0.894, 0.623, 0.243)
Cl (0.384, 0.741, 0.744)
Cl (0.741, 0.130, 0.744)
Cl (0.129, 0.385, 0.744)



LiNiAgCl4 | PBE | optimized geometry

Volume: 299 Å³/cell
Size of the total moment: 3.9 μB per cell
Raw total energy: -48.0 eV/cell

abc: 7.384 7.556 7.416
angles: 119.39 90.00 119.25
Site moments in Bohr magnetons follow the coordinates.
Fractional positions:
Li (0.500, 0.000, 0.500)  0.00
Li (0.500, 0.000, 0.000)  0.00
Ni (0.500, 0.500, 0.500)  1.43
Ni (0.000, 0.500, 0.500)  1.43
Ag (0.888, 0.775, 0.138)  0.04
Ag (0.112, 0.225, 0.862)  0.04
Cl (0.747, 0.493, 0.716)  0.13
Cl (0.303, 0.063, 0.282)  0.06
Cl (0.760, 0.063, 0.282)  0.06
Cl (0.747, 0.493, 0.278)  0.13
Cl (0.253, 0.507, 0.722)  0.13
Cl (0.697, 0.937, 0.718)  0.06
Cl (0.240, 0.937, 0.718)  0.06
Cl (0.253, 0.507, 0.284)  0.13



LiNiAg2Cl6 | PBE | optimized geometry

Volume: 230 Å³/cell
N(E_F): 3.55 states/eV/f.u.
Size of the total moment: 1.0 μB per cell
Raw total energy: -31.4 eV/cell

abc: 6.911 6.666 7.260
angles: 55.11 68.48 57.18
Site moments in Bohr magnetons follow the coordinates.
Fractional positions:
Li (0.665, 0.850, 0.674)  0.00
Ni (0.326, 0.332, 0.999)  0.82
Ag (0.669, 0.483, 0.309)  -0.01
Ag (0.998, 0.027, 0.985)  -0.06
Cl (0.636, 0.148, 0.262)  0.05
Cl (0.311, 0.930, 0.223)  0.00
Cl (0.053, 0.487, 0.235)  0.00
Cl (0.338, 0.742, 0.793)  -0.01
Cl (0.625, 0.179, 0.769)  0.01
Cl (0.040, 0.483, 0.768)  0.10